# 1
Density functional theory data (PBE) for a relaxed LaPu3Hg4 crystal.

CIF file:
```
data_LaPu3Hg4
_chemical_formula_sum 'La1 Pu3 Hg4'
_cell_length_a 3.712
_cell_length_b 3.712
_cell_length_c 15.938
_cell_angle_alpha 90.00
_cell_angle_beta 90.00
_cell_angle_gamma 90.00
_symmetry_space_group_name_H-M 'P 4/m m m'
_symmetry_Int_Tables_number 123
_symmetry_space_group_name_Hall '-P 4 2'
loop_
_atom_site_label
_atom_site_fract_x
_atom_site_fract_y
_atom_site_fract_z
La1 0.000 0.000 0.000
Pu1 0.000 0.000 0.254
Pu2 0.000 0.000 0.500
Hg1 0.500 0.500 0.131
Hg2 0.500 0.500 0.377
```

Values from the calculation:
total DFT energy (no corrections): -50.67 eV per cell

=====

# 2
Density functional theory data (PBE) for a relaxed SmDy2Bi4 crystal.

CIF file:
```
data_SmDy2Bi4
_chemical_formula_sum 'Sm4 Dy8 Bi16'
_cell_length_a 4.520
_cell_length_b 11.367
_cell_length_c 17.160
_cell_angle_alpha 90.00
_cell_angle_beta 90.00
_cell_angle_gamma 90.00
_symmetry_space_group_name_H-M 'C m c m'
_symmetry_Int_Tables_number 63
_symmetry_space_group_name_Hall '-C 2c 2'
loop_
_atom_site_label
_atom_site_fract_x
_atom_site_fract_y
_atom_site_fract_z
Sm1 0.000 0.053 0.250
Dy1 0.000 0.339 0.075
Bi1 0.000 0.000 0.000
Bi2 0.000 0.344 0.250
Bi3 0.000 0.352 0.620
```

Values from the calculation:
total DFT energy (no corrections): -135.26 eV per cell

=====

# 3
Density functional theory data (PBE) for a relaxed PmNdBiAs crystal.

CIF file:
```
data_PmNdBiAs
_chemical_formula_sum 'Pm3 Nd3 Bi3 As3'
_cell_length_a 4.3929
_cell_length_b 4.3929
_cell_length_c 21.9470
_cell_angle_alpha 90.00
_cell_angle_beta 90.00
_cell_angle_gamma 120.00
_symmetry_space_group_name_H-M 'R 3 m'
_symmetry_Int_Tables_number 160
_symmetry_space_group_name_Hall 'R 3 -2"'
loop_
_atom_site_label
_atom_site_fract_x
_atom_site_fract_y
_atom_site_fract_z
Pm1 0.0000 0.0000 0.0000
Nd1 0.0000 0.0000 0.5148
Bi1 0.0000 0.0000 0.7568
As1 0.0000 0.0000 0.2580
```

Values from the calculation:
total DFT energy (no corrections): -68.67 eV per cell

=====

# 4
Density functional theory data (PBE) for a relaxed NiSb2TeH crystal.

CIF file:
```
data_NiSb2TeH
_chemical_formula_sum 'Ni1 Sb2 Te1 H1'
_cell_length_a 4.645
_cell_length_b 4.645
_cell_length_c 4.506
_cell_angle_alpha 90.00
_cell_angle_beta 90.00
_cell_angle_gamma 90.00
_symmetry_space_group_name_H-M 'P 4/m m m'
_symmetry_Int_Tables_number 123
_symmetry_space_group_name_Hall '-P 4 2'
loop_
_atom_site_label
_atom_site_fract_x
_atom_site_fract_y
_atom_site_fract_z
Ni1 0.000 0.000 0.000
Sb1 0.000 0.500 0.500
Te1 0.500 0.500 0.000
H1 0.500 0.500 0.500
```

Values from the calculation:
total DFT energy (no corrections): -17.04 eV per cell